i:
The following is a DFT calculation (PBE) of a relaxed RbTl4Sb2 crystal.

D(E_F) = 0.341 states/eV/atom
Symmetry = No. 139

Unit cell a=6.5417 b=6.5417 c=9.2546 alpha=69.30 beta=69.30 gamma=90.00
Sites, in units of the cell vectors:
Tl 0.2296 0.2296 0.5408
Rb 0.0000 0.0000 0.0000
Tl 0.5000 0.0000 0.0000
Tl 0.0000 0.5000 0.0000
Sb 0.5887 0.5887 0.8226
Sb 0.4113 0.4113 0.1774
Tl 0.7704 0.7704 0.4592

***

ii:
The following is a DFT calculation (PBE) of a relaxed RbTl4Sb2 crystal.

D(E_F) = 0.300 states/eV/atom
Symmetry = No. 65

Unit cell a=5.1043 b=5.1376 c=9.8851 alpha=105.06 beta=90.00 gamma=90.00
Sites, in units of the cell vectors:
Tl 0.0000 0.3189 0.6378
Sb 0.5000 0.4237 0.8473
Sb 0.5000 0.5763 0.1527
Tl 0.5000 0.1817 0.3634
Rb 0.0000 0.0000 0.0000
Tl 0.0000 0.6811 0.3622
Tl 0.5000 0.8183 0.6366

***

The most stable arrangement is ii, and the next structure is 441 meV per atom less stable.

***

i:
The following is a DFT calculation (PBE) of a relaxed Rb2Tl5Sb crystal.

D(E_F) = 0.627 states/eV/atom
Symmetry = No. 123

Unit cell a=6.1813 b=7.6392 c=7.6392 alpha=90.00 beta=90.00 gamma=90.00
Sites, in units of the cell vectors:
Tl 0.0000 0.2870 0.7130
Sb 0.0000 0.0000 0.0000
Rb 0.5000 0.0000 0.5000
Tl 0.5000 0.0000 0.0000
Rb 0.5000 0.5000 0.0000
Tl 0.0000 0.7130 0.7130
Tl 0.0000 0.2870 0.2870
Tl 0.0000 0.7130 0.2870

***

ii:
The following is a DFT calculation (PBE) of a relaxed Rb2Tl5Sb crystal.

D(E_F) = 0.513 states/eV/atom
Symmetry = No. 139

Unit cell a=5.8267 b=5.8267 c=9.4170 alpha=108.02 beta=108.02 gamma=90.00
Sites, in units of the cell vectors:
Sb 0.0000 0.0000 0.0000
Tl 0.9009 0.4009 0.8018
Tl 0.5000 0.5000 0.0000
Rb 0.2434 0.2434 0.4868
Rb 0.7566 0.7566 0.5132
Tl 0.0991 0.5991 0.1982
Tl 0.4009 0.9009 0.8018
Tl 0.5991 0.0991 0.1982

***

The most stable arrangement is ii, and the next structure is 112 meV per atom less stable.